PBE NaCd2Au4, optimized geometry; raw total energy = -2.25 eV per atom; V = 30.05 A^3/atom; ΔH_f (0 K) = 0.53 eV per formula unit
1.0
-4.301 4.301 2.843
4.301 -4.301 2.843
4.301 4.301 -2.843
Na Cd Au
1 2 4
Direct
0.000 0.000 0.000
0.250 0.750 0.500
0.750 0.250 0.500
0.276 0.500 0.776
0.500 0.276 0.776
0.500 0.724 0.224
0.724 0.500 0.224

PBE LaAl3Hg, optimized geometry; raw total energy = -3.68 eV per atom; relative energy among the computed polymorphs = 0.000 eV per atom; V = 22.05 A^3/atom; ΔH_f (0 K) = -1.96 eV per formula unit
1.0
3.146 -5.583 0.000
3.146 5.583 0.000
0.000 0.000 6.279
La Al Hg
2 6 2
Direct
0.246 0.754 0.750
0.754 0.246 0.250
0.270 0.270 0.000
0.270 0.270 0.500
0.359 0.641 0.250
0.641 0.359 0.750
0.730 0.730 0.000
0.730 0.730 0.500
0.128 0.872 0.250
0.872 0.128 0.750

PBE Tm3Pa2Fe4, optimized geometry; raw total energy = -7.51 eV per atom; V = 19.61 A^3/atom; ΔH_f (0 K) = -1.34 eV per formula unit
1.0
6.192 -1.818 0.000
6.192 1.818 0.000
-2.546 0.000 7.837
Tm Pa Fe
3 2 4
Direct
0.000 0.000 0.000
0.402 0.402 0.292
0.598 0.598 0.708
0.318 0.318 0.685
0.682 0.682 0.315
0.092 0.092 0.422
0.287 0.287 0.931
0.713 0.713 0.069
0.908 0.908 0.578

PBE Hg2BOsS, optimized geometry; raw total energy = -3.53 eV per atom; raw formation energy = 0.99 eV per atom; V = 17.79 A^3/atom
1.0
4.647 0.000 0.000
0.000 4.647 0.000
0.000 0.000 4.119
Hg B Os S
2 1 1 1
Direct
0.000 0.500 0.000
0.500 0.000 0.000
0.000 0.000 0.000
0.000 0.000 0.500
0.500 0.500 0.500

Which formula does entry 1 have?
NaCd2Au4

Which of these has the highest V?
NaCd2Au4

The lowest raw total energy belongs to which entry?
Tm3Pa2Fe4

Which value of raw total energy does entry 2 give?
-3.68 eV per atom